# BaCr2RhO

A relaxed structure of BaCr2RhO (GGA+U, Alexandria via LeMat-Bulk). Values from VASP.

Cell and atoms, written as Quantum ESPRESSO input:
```
&SYSTEM
  ibrav = 0, nat = 5, ntyp = 4
/
ATOMIC_SPECIES
Cr 52.00 Cr.upf
Rh 102.91 Rh.upf
Ba 137.33 Ba.upf
O 16.00 O.upf
CELL_PARAMETERS angstrom
4.1638 0.0000 0.0000
0.0000 5.3674 0.0000
0.0000 0.0000 4.1638
ATOMIC_POSITIONS angstrom
Cr 0.0000 0.0000 2.0819
Cr 2.0819 0.0000 0.0000
Rh 2.0819 2.6837 2.0819
Ba 0.0000 2.6837 0.0000
O 0.0000 0.0000 0.0000
```

Mass density = 6428 kg/m3
Relative energy among the computed polymorphs = 0 meV per atom
Total moment = 0.7 μB per formula unit
Volume = 93.1 Å³/cell
E = -5.4563 eV per atom